# Ce2MnGa (PBE-GGA, relaxed)
# **Formation energy from the elements**: -0.245 eV/atom
# **Crystal system**: orthorhombic
# **Relative energy among the computed polymorphs**: 0.0 meV per atom
data_Ce2MnGa
_chemical_formula_sum 'Ce8 Mn4 Ga4'
_space_group_name_H-M_alt 'P n m a'
_space_group_IT_number 62
_space_group_name_Hall '-P 2ac 2n'
_cell_length_a 7.5059
_cell_length_b 6.8841
_cell_length_c 6.9670
_cell_angle_alpha 90.00
_cell_angle_beta 90.00
_cell_angle_gamma 90.00
loop_
_atom_site_label
_atom_site_fract_x
_atom_site_fract_y
_atom_site_fract_z
Ce1 0.1857 0.0022 0.1724
Mn1 0.1891 0.7500 0.8325
Ga1 0.0008 0.7500 0.5086